The following is a GGA-PBE calculation of a relaxed structure of TbAg2Cl6, from Alexandria via LeMat-Bulk.

Energy relative to the elements, uncorrected = -113.2 kJ per mole of atoms
Calculated volume = 32.3 A^3/atom
Total DFT energy (no corrections) = -32.0 eV for the cell shown

Cell and atoms, written as CIF:
```
data_TbAg2Cl6
_chemical_formula_sum 'Tb1 Ag2 Cl6'
_cell_length_a 7.999
_cell_length_b 7.999
_cell_length_c 9.530
_cell_angle_alpha 95.65
_cell_angle_beta 95.65
_cell_angle_gamma 28.62
_symmetry_space_group_name_H-M 'P 1'
_symmetry_Int_Tables_number 1
_symmetry_space_group_name_Hall 'P 1'
loop_
_atom_site_label
_atom_site_type_symbol
_atom_site_fract_x
_atom_site_fract_y
_atom_site_fract_z
_atom_site_occupancy
Tb1 Tb 0.000 0.000 0.000 1
Ag1 Ag 0.193 0.193 0.335 1
Ag2 Ag 0.807 0.807 0.665 1
Cl1 Cl 0.035 0.035 0.279 1
Cl2 Cl 0.212 0.212 0.656 1
Cl3 Cl 0.385 0.385 0.018 1
Cl4 Cl 0.615 0.615 0.982 1
Cl5 Cl 0.788 0.788 0.344 1
Cl6 Cl 0.965 0.965 0.721 1
```

The following is a GGA-PBE calculation of a relaxed structure of CaTaSe2, from Alexandria via LeMat-Bulk.

Energy relative to the elements, uncorrected = -52.9 kJ per mole of atoms
Calculated volume = 29.6 A^3/atom
Polymorph energy (0 for the lowest one) = 323 meV per atom
Total DFT energy (no corrections) = -92.1 eV for the cell shown

Cell and atoms, written as CIF:
```
data_CaTaSe2
_chemical_formula_sum 'Ca4 Ta4 Se8'
_cell_length_a 6.068
_cell_length_b 6.068
_cell_length_c 12.842
_cell_angle_alpha 90.00
_cell_angle_beta 90.00
_cell_angle_gamma 90.00
_symmetry_space_group_name_H-M 'P 1'
_symmetry_Int_Tables_number 1
_symmetry_space_group_name_Hall 'P 1'
loop_
_atom_site_label
_atom_site_type_symbol
_atom_site_fract_x
_atom_site_fract_y
_atom_site_fract_z
_atom_site_occupancy
Ca1 Ca 0.000 0.000 0.000 1
Ca2 Ca 0.000 0.500 0.250 1
Ca3 Ca 0.500 0.000 0.750 1
Ca4 Ca 0.500 0.500 0.500 1
Ta1 Ta 0.000 0.000 0.500 1
Ta2 Ta 0.000 0.500 0.750 1
Ta3 Ta 0.500 0.000 0.250 1
Ta4 Ta 0.500 0.500 0.000 1
Se1 Se 0.203 0.250 0.625 1
Se2 Se 0.250 0.703 0.875 1
Se3 Se 0.250 0.797 0.375 1
Se4 Se 0.297 0.250 0.125 1
Se5 Se 0.703 0.750 0.125 1
Se6 Se 0.750 0.203 0.375 1
Se7 Se 0.750 0.297 0.875 1
Se8 Se 0.797 0.750 0.625 1
```

The following is a GGA-PBE calculation of a relaxed structure of BaHfTcO6, from Alexandria via LeMat-Bulk.

Energy relative to the elements, uncorrected = -233.7 kJ per mole of atoms
Calculated volume = 16.2 A^3/atom
Total DFT energy (no corrections) = -73.8 eV for the cell shown

Cell and atoms, written as CIF:
```
data_BaHfTcO6
_chemical_formula_sum 'Ba1 Hf1 Tc1 O6'
_cell_length_a 5.413
_cell_length_b 5.413
_cell_length_c 5.741
_cell_angle_alpha 90.00
_cell_angle_beta 90.00
_cell_angle_gamma 120.00
_symmetry_space_group_name_H-M 'P 1'
_symmetry_Int_Tables_number 1
_symmetry_space_group_name_Hall 'P 1'
loop_
_atom_site_label
_atom_site_type_symbol
_atom_site_fract_x
_atom_site_fract_y
_atom_site_fract_z
_atom_site_occupancy
Ba1 Ba 0.000 0.000 0.000 1
Hf1 Hf 0.667 0.333 0.500 1
Tc1 Tc 0.333 0.667 0.500 1
O1 O 0.019 0.399 0.305 1
O2 O 0.019 0.620 0.695 1
O3 O 0.380 0.399 0.695 1
O4 O 0.380 0.981 0.305 1
O5 O 0.601 0.620 0.305 1
O6 O 0.601 0.981 0.695 1
```

The following is a GGA-PBE calculation of a relaxed structure of HfAgSeN2, from Alexandria via LeMat-Bulk.

Energy relative to the elements, uncorrected = 135.3 kJ per mole of atoms
Calculated volume = 16.1 A^3/atom
Polymorph energy (0 for the lowest one) = 1080 meV per atom
Total DFT energy (no corrections) = -25.9 eV for the cell shown

Cell and atoms, written as CIF:
```
data_HfAgSeN2
_chemical_formula_sum 'Hf1 Ag1 Se1 N2'
_cell_length_a 4.077
_cell_length_b 4.077
_cell_length_c 4.837
_cell_angle_alpha 90.00
_cell_angle_beta 90.00
_cell_angle_gamma 90.00
_symmetry_space_group_name_H-M 'P 1'
_symmetry_Int_Tables_number 1
_symmetry_space_group_name_Hall 'P 1'
loop_
_atom_site_label
_atom_site_type_symbol
_atom_site_fract_x
_atom_site_fract_y
_atom_site_fract_z
_atom_site_occupancy
Hf1 Hf 0.000 0.000 0.000 1
Ag1 Ag 0.500 0.500 0.500 1
Se1 Se 0.500 0.500 0.000 1
N1 N 0.000 0.500 0.500 1
N2 N 0.500 0.000 0.500 1
```

The following is a GGA-PBE calculation of a relaxed structure of BaSn2Sb2, from Alexandria via LeMat-Bulk.

Energy relative to the elements, uncorrected = -36.8 kJ per mole of atoms
Calculated volume = 34.3 A^3/atom
Total DFT energy (no corrections) = -40.2 eV for the cell shown

Cell and atoms, written as CIF:
```
data_BaSn2Sb2
_chemical_formula_sum 'Ba2 Sn4 Sb4'
_cell_length_a 5.820
_cell_length_b 5.820
_cell_length_c 10.125
_cell_angle_alpha 90.00
_cell_angle_beta 90.00
_cell_angle_gamma 90.00
_symmetry_space_group_name_H-M 'P 1'
_symmetry_Int_Tables_number 1
_symmetry_space_group_name_Hall 'P 1'
loop_
_atom_site_label
_atom_site_type_symbol
_atom_site_fract_x
_atom_site_fract_y
_atom_site_fract_z
_atom_site_occupancy
Ba1 Ba 0.000 0.000 0.000 1
Ba2 Ba 0.500 0.500 0.500 1
Sn1 Sn 0.000 0.000 0.351 1
Sn2 Sn 0.000 0.000 0.649 1
Sn3 Sn 0.500 0.500 0.149 1
Sn4 Sn 0.500 0.500 0.851 1
Sb1 Sb 0.000 0.500 0.250 1
Sb2 Sb 0.000 0.500 0.750 1
Sb3 Sb 0.500 0.000 0.250 1
Sb4 Sb 0.500 0.000 0.750 1
```

The following is a GGA-PBE calculation of a relaxed structure of BaMg2W, from Alexandria via LeMat-Bulk.

Calculated volume = 24.7 A^3/atom
Polymorph energy (0 for the lowest one) = 399 meV per atom
Total DFT energy (no corrections) = -14.0 eV for the cell shown

Cell and atoms, written as CIF:
```
data_BaMg2W
_chemical_formula_sum 'Ba1 Mg2 W1'
_cell_length_a 3.073
_cell_length_b 5.614
_cell_length_c 5.720
_cell_angle_alpha 90.00
_cell_angle_beta 90.00
_cell_angle_gamma 90.00
_symmetry_space_group_name_H-M 'P 1'
_symmetry_Int_Tables_number 1
_symmetry_space_group_name_Hall 'P 1'
loop_
_atom_site_label
_atom_site_type_symbol
_atom_site_fract_x
_atom_site_fract_y
_atom_site_fract_z
_atom_site_occupancy
Ba1 Ba 0.000 0.000 0.000 1
Mg1 Mg 0.000 0.500 0.500 1
Mg2 Mg 0.500 0.000 0.500 1
W1 W 0.500 0.500 0.000 1
```

The following is a GGA-PBE calculation of a relaxed structure of TiCuAgPd, from Alexandria via LeMat-Bulk.

Calculated volume = 15.5 A^3/atom
Total DFT energy (no corrections) = -82.3 eV for the cell shown

Cell and atoms, written as CIF:
```
data_TiCuAgPd
_chemical_formula_sum 'Ti4 Cu4 Ag4 Pd4'
_cell_length_a 6.281
_cell_length_b 6.281
_cell_length_c 6.281
_cell_angle_alpha 90.00
_cell_angle_beta 90.00
_cell_angle_gamma 90.00
_symmetry_space_group_name_H-M 'P 1'
_symmetry_Int_Tables_number 1
_symmetry_space_group_name_Hall 'P 1'
loop_
_atom_site_label
_atom_site_type_symbol
_atom_site_fract_x
_atom_site_fract_y
_atom_site_fract_z
_atom_site_occupancy
Ti1 Ti 0.000 0.000 0.000 1
Ti2 Ti 0.000 0.500 0.500 1
Ti3 Ti 0.500 0.000 0.500 1
Ti4 Ti 0.500 0.500 0.000 1
Cu1 Cu 0.250 0.250 0.750 1
Cu2 Cu 0.250 0.750 0.250 1
Cu3 Cu 0.750 0.250 0.250 1
Cu4 Cu 0.750 0.750 0.750 1
Ag1 Ag 0.000 0.000 0.500 1
Ag2 Ag 0.000 0.500 0.000 1
Ag3 Ag 0.500 0.000 0.000 1
Ag4 Ag 0.500 0.500 0.500 1
Pd1 Pd 0.250 0.250 0.250 1
Pd2 Pd 0.250 0.750 0.750 1
Pd3 Pd 0.750 0.250 0.750 1
Pd4 Pd 0.750 0.750 0.250 1
```

The following is a GGA-PBE calculation of a relaxed structure of ZnTe2P, from Alexandria via LeMat-Bulk.

Energy relative to the elements, uncorrected = 9.1 kJ per mole of atoms
Calculated volume = 24.9 A^3/atom
Polymorph energy (0 for the lowest one) = 65 meV per atom
Total DFT energy (no corrections) = -12.6 eV for the cell shown

Cell and atoms, written as CIF:
```
data_ZnTe2P
_chemical_formula_sum 'Zn1 Te2 P1'
_cell_length_a 4.601
_cell_length_b 3.920
_cell_length_c 5.726
_cell_angle_alpha 90.00
_cell_angle_beta 105.36
_cell_angle_gamma 90.00
_symmetry_space_group_name_H-M 'P 1'
_symmetry_Int_Tables_number 1
_symmetry_space_group_name_Hall 'P 1'
loop_
_atom_site_label
_atom_site_type_symbol
_atom_site_fract_x
_atom_site_fract_y
_atom_site_fract_z
_atom_site_occupancy
Zn1 Zn 0.000 0.000 0.000 1
Te1 Te 0.245 0.500 0.726 1
Te2 Te 0.513 0.000 0.389 1
P1 P 0.706 0.500 0.082 1
```

The following is a GGA-PBE calculation of a relaxed structure of HfHRh3, from Alexandria via LeMat-Bulk.

Calculated volume = 13.7 A^3/atom
Polymorph energy (0 for the lowest one) = 477 meV per atom
Total DFT energy (no corrections) = -72.8 eV for the cell shown

Cell and atoms, written as CIF:
```
data_HfHRh3
_chemical_formula_sum 'Hf2 H2 Rh6'
_cell_length_a 5.128
_cell_length_b 5.128
_cell_length_c 5.329
_cell_angle_alpha 90.00
_cell_angle_beta 90.00
_cell_angle_gamma 102.08
_symmetry_space_group_name_H-M 'P 1'
_symmetry_Int_Tables_number 1
_symmetry_space_group_name_Hall 'P 1'
loop_
_atom_site_label
_atom_site_type_symbol
_atom_site_fract_x
_atom_site_fract_y
_atom_site_fract_z
_atom_site_occupancy
Hf1 Hf 0.096 0.904 0.750 1
Hf2 Hf 0.904 0.096 0.250 1
H1 H 0.358 0.642 0.750 1
H2 H 0.642 0.358 0.250 1
Rh1 Rh 0.006 0.391 0.750 1
Rh2 Rh 0.391 0.006 0.250 1
Rh3 Rh 0.500 0.500 0.000 1
Rh4 Rh 0.500 0.500 0.500 1
Rh5 Rh 0.609 0.994 0.750 1
Rh6 Rh 0.994 0.609 0.250 1
```

The following is a GGA-PBE calculation of a relaxed structure of Mg8ScPb6, from Alexandria via LeMat-Bulk.

Calculated volume = 27.6 A^3/atom
Total DFT energy (no corrections) = -41.4 eV for the cell shown

Cell and atoms, written as CIF:
```
data_Mg8ScPb6
_chemical_formula_sum 'Mg8 Sc1 Pb6'
_cell_length_a 8.325
_cell_length_b 8.325
_cell_length_c 8.325
_cell_angle_alpha 60.58
_cell_angle_beta 60.58
_cell_angle_gamma 60.58
_symmetry_space_group_name_H-M 'P 1'
_symmetry_Int_Tables_number 1
_symmetry_space_group_name_Hall 'P 1'
loop_
_atom_site_label
_atom_site_type_symbol
_atom_site_fract_x
_atom_site_fract_y
_atom_site_fract_z
_atom_site_occupancy
Mg1 Mg 0.047 0.384 0.722 1
Mg2 Mg 0.168 0.168 0.168 1
Mg3 Mg 0.278 0.953 0.616 1
Mg4 Mg 0.384 0.722 0.047 1
Mg5 Mg 0.616 0.278 0.953 1
Mg6 Mg 0.722 0.047 0.384 1
Mg7 Mg 0.832 0.832 0.832 1
Mg8 Mg 0.953 0.616 0.278 1
Sc1 Sc 0.500 0.500 0.500 1
Pb1 Pb 0.102 0.765 0.434 1
Pb2 Pb 0.235 0.566 0.898 1
Pb3 Pb 0.434 0.102 0.765 1
Pb4 Pb 0.566 0.898 0.235 1
Pb5 Pb 0.765 0.434 0.102 1
Pb6 Pb 0.898 0.235 0.566 1
```

The following is a GGA-PBE calculation of a relaxed structure of LiMo2Cl, from Alexandria via LeMat-Bulk.

Energy relative to the elements, uncorrected = -6.8 kJ per mole of atoms
Calculated volume = 18.0 A^3/atom
Polymorph energy (0 for the lowest one) = 32 meV per atom
Total DFT energy (no corrections) = -51.4 eV for the cell shown

Cell and atoms, written as CIF:
```
data_LiMo2Cl
_chemical_formula_sum 'Li2 Mo4 Cl2'
_cell_length_a 5.636
_cell_length_b 3.162
_cell_length_c 8.480
_cell_angle_alpha 90.00
_cell_angle_beta 107.23
_cell_angle_gamma 90.00
_symmetry_space_group_name_H-M 'P 1'
_symmetry_Int_Tables_number 1
_symmetry_space_group_name_Hall 'P 1'
loop_
_atom_site_label
_atom_site_type_symbol
_atom_site_fract_x
_atom_site_fract_y
_atom_site_fract_z
_atom_site_occupancy
Li1 Li 0.000 0.000 0.000 1
Li2 Li 0.500 0.500 0.000 1
Mo1 Mo 0.096 0.500 0.530 1
Mo2 Mo 0.335 0.500 0.329 1
Mo3 Mo 0.596 0.000 0.530 1
Mo4 Mo 0.835 0.000 0.329 1
Cl1 Cl 0.244 0.000 0.818 1
Cl2 Cl 0.744 0.500 0.818 1
```

The following is a GGA-PBE calculation of a relaxed structure of Dy4PdSe5, from Alexandria via LeMat-Bulk.

Energy relative to the elements, uncorrected = -146.5 kJ per mole of atoms
Calculated volume = 29.4 A^3/atom
Total DFT energy (no corrections) = -56.2 eV for the cell shown

Cell and atoms, written as CIF:
```
data_Dy4PdSe5
_chemical_formula_sum 'Dy4 Pd1 Se5'
_cell_length_a 9.146
_cell_length_b 9.146
_cell_length_c 8.402
_cell_angle_alpha 105.89
_cell_angle_beta 105.89
_cell_angle_gamma 25.84
_symmetry_space_group_name_H-M 'P 1'
_symmetry_Int_Tables_number 1
_symmetry_space_group_name_Hall 'P 1'
loop_
_atom_site_label
_atom_site_type_symbol
_atom_site_fract_x
_atom_site_fract_y
_atom_site_fract_z
_atom_site_occupancy
Dy1 Dy 0.004 0.004 0.264 1
Dy2 Dy 0.321 0.321 0.881 1
Dy3 Dy 0.679 0.679 0.119 1
Dy4 Dy 0.996 0.996 0.736 1
Pd1 Pd 0.500 0.500 0.000 1
Se1 Se 0.161 0.161 0.865 1
Se2 Se 0.163 0.163 0.333 1
Se3 Se 0.500 0.500 0.500 1
Se4 Se 0.837 0.837 0.667 1
Se5 Se 0.839 0.839 0.135 1
```